(1)
Compound: LiCoGe2
Source: Alexandria
Functional: PBE
Structure: relaxed

Output
Uncorrected energy ... -18.9 eV per formula unit
Theoretical density ... 6.7 Mg/m³

Cell lengths 4.202, 4.202, 4.202 Å; angles 60.00, 60.00, 60.00 degrees
Atoms (fractional coordinates):
Li: 0.000 0.000 0.000
Co: 0.500 0.500 0.500
Ge: 0.250 0.250 0.250
Ge: 0.750 0.750 0.750

---

(2)
Compound: Tb8PmBi6
Source: Alexandria
Functional: PBE
Structure: relaxed

Output
Uncorrected energy ... -73.2 eV per formula unit
Theoretical density ... 8.7 Mg/m³

Cell lengths 10.797, 10.797, 10.797 Å; angles 41.92, 41.92, 41.92 degrees
Atoms (fractional coordinates):
Tb: 0.050 0.709 0.377
Tb: 0.167 0.167 0.167
Tb: 0.291 0.623 0.950
Tb: 0.377 0.050 0.709
Tb: 0.623 0.950 0.291
Tb: 0.709 0.377 0.050
Tb: 0.833 0.833 0.833
Tb: 0.950 0.291 0.623
Pm: 0.500 0.500 0.500
Bi: 0.099 0.438 0.774
Bi: 0.226 0.901 0.562
Bi: 0.438 0.774 0.099
Bi: 0.562 0.226 0.901
Bi: 0.774 0.099 0.438
Bi: 0.901 0.562 0.226

---

(3)
Compound: Na5Eu3F12
Source: Alexandria
Functional: PBE
Structure: relaxed

Output
Uncorrected energy ... -125.0 eV per formula unit
Theoretical density ... 4.2 Mg/m³
Energy relative to the elements, uncorrected ... -314.08 kJ/mol of atoms

Cell lengths 11.756, 11.756, 11.756 Å; angles 109.47, 109.47, 109.47 degrees
Atoms (fractional coordinates):
Na: 0.000 0.000 0.000
Na: 0.000 0.000 0.500
Na: 0.000 0.500 0.000
Na: 0.000 0.500 0.500
Na: 0.125 0.750 0.875
Na: 0.125 0.875 0.250
Na: 0.250 0.125 0.875
Na: 0.250 0.625 0.375
Na: 0.375 0.250 0.625
Na: 0.375 0.625 0.750
Na: 0.500 0.000 0.000
Na: 0.500 0.000 0.500
Na: 0.500 0.500 0.000
Na: 0.500 0.500 0.500
Na: 0.625 0.375 0.250
Na: 0.625 0.750 0.375
Na: 0.750 0.375 0.625
Na: 0.750 0.875 0.125
Na: 0.875 0.125 0.750
Na: 0.875 0.250 0.125
Eu: 0.125 0.250 0.375
Eu: 0.125 0.375 0.750
Eu: 0.250 0.375 0.125
Eu: 0.250 0.875 0.625
Eu: 0.375 0.125 0.250
Eu: 0.375 0.750 0.125
Eu: 0.625 0.250 0.875
Eu: 0.625 0.875 0.750
Eu: 0.750 0.125 0.375
Eu: 0.750 0.625 0.875
Eu: 0.875 0.625 0.250
Eu: 0.875 0.750 0.625
F: 0.050 0.224 0.136
F: 0.050 0.326 0.914
F: 0.086 0.636 0.412
F: 0.086 0.950 0.674
F: 0.088 0.724 0.674
F: 0.088 0.864 0.414
F: 0.136 0.050 0.224
F: 0.136 0.586 0.912
F: 0.174 0.224 0.588
F: 0.174 0.450 0.586
F: 0.224 0.136 0.050
F: 0.224 0.588 0.174
F: 0.276 0.326 0.912
F: 0.276 0.450 0.364
F: 0.326 0.912 0.276
F: 0.326 0.914 0.050
F: 0.364 0.276 0.450
F: 0.364 0.588 0.914
F: 0.412 0.086 0.636
F: 0.412 0.826 0.776
F: 0.414 0.088 0.864
F: 0.414 0.826 0.550
F: 0.450 0.364 0.276
F: 0.450 0.586 0.174
F: 0.550 0.414 0.826
F: 0.550 0.636 0.724
F: 0.586 0.174 0.450
F: 0.586 0.912 0.136
F: 0.588 0.174 0.224
F: 0.588 0.914 0.364
F: 0.636 0.412 0.086
F: 0.636 0.724 0.550
F: 0.674 0.086 0.950
F: 0.674 0.088 0.724
F: 0.724 0.550 0.636
F: 0.724 0.674 0.088
F: 0.776 0.412 0.826
F: 0.776 0.864 0.950
F: 0.826 0.550 0.414
F: 0.826 0.776 0.412
F: 0.864 0.414 0.088
F: 0.864 0.950 0.776
F: 0.912 0.136 0.586
F: 0.912 0.276 0.326
F: 0.914 0.050 0.326
F: 0.914 0.364 0.588
F: 0.950 0.674 0.086
F: 0.950 0.776 0.864

---

(4)
Compound: Tb4Pr2NdY2
Source: Alexandria
Functional: PBE
Structure: relaxed

Output
Uncorrected energy ... -45.8 eV per formula unit
Theoretical density ... 6.9 Mg/m³

Cell lengths 9.629, 9.629, 9.675 Å; angles 115.23, 115.23, 21.82 degrees
Atoms (fractional coordinates):
Tb: 0.019 0.019 0.336
Tb: 0.314 0.314 0.663
Tb: 0.686 0.686 0.337
Tb: 0.981 0.981 0.664
Pr: 0.166 0.166 0.001
Pr: 0.834 0.834 0.999
Nd: 0.500 0.500 0.000
Y: 0.353 0.353 0.337
Y: 0.647 0.647 0.663

---

(5)
Compound: Ac2SnN
Source: Alexandria
Functional: PBE
Structure: relaxed

Output
Uncorrected energy ... -21.6 eV per formula unit
Theoretical density ... 5.3 Mg/m³
Energy relative to the elements, uncorrected ... -24.84 kJ/mol of atoms

Cell lengths 8.281, 8.281, 8.281 Å; angles 36.99, 36.99, 36.99 degrees
Atoms (fractional coordinates):
Ac: 0.094 0.094 0.094
Ac: 0.906 0.906 0.906
Sn: 0.500 0.500 0.500
N: 0.000 0.000 0.000

---

(6)
Compound: MgAsBr2N
Source: Alexandria
Functional: PBE
Structure: relaxed

Output
Uncorrected energy ... -13.6 eV per formula unit
Theoretical density ... 3.1 Mg/m³
Energy relative to the elements, uncorrected ... 83.52 kJ/mol of atoms

Cell lengths 5.223, 5.223, 5.379 Å; angles 90.00, 90.00, 90.00 degrees
Atoms (fractional coordinates):
Mg: 0.000 0.000 0.000
As: 0.000 0.000 0.500
Br: 0.000 0.500 0.000
Br: 0.500 0.000 0.000
N: 0.500 0.500 0.500

---

(7)
Compound: LiNpInRh
Source: Alexandria
Functional: PBE
Structure: relaxed

Output
Uncorrected energy ... -25.4 eV per formula unit
Theoretical density ... 10.0 Mg/m³

Cell lengths 4.771, 4.771, 4.771 Å; angles 60.00, 60.00, 60.00 degrees
Atoms (fractional coordinates):
Li: 0.000 0.000 0.000
Np: 0.750 0.750 0.750
In: 0.250 0.250 0.250
Rh: 0.500 0.500 0.500

---

(8)
Compound: LiTaCo
Source: Alexandria
Functional: PBE
Structure: relaxed

Output
Uncorrected energy ... -20.2 eV per formula unit
Theoretical density ... 10.2 Mg/m³

Cell lengths 4.155, 4.155, 2.690 Å; angles 90.00, 90.00, 120.00 degrees
Atoms (fractional coordinates):
Li: 0.000 0.000 0.000
Ta: 0.667 0.333 0.415
Co: 0.333 0.667 0.772

---

(9)
Compound: TlSbIO6
Source: Alexandria
Functional: PBE
Structure: relaxed

Output
Uncorrected energy ... -44.4 eV per formula unit
Theoretical density ... 5.6 Mg/m³
Energy relative to the elements, uncorrected ... -70.41 kJ/mol of atoms

Cell lengths 5.441, 5.441, 6.339 Å; angles 90.00, 90.00, 120.00 degrees
Atoms (fractional coordinates):
Tl: 0.000 0.000 0.000
Sb: 0.333 0.667 0.500
I: 0.667 0.333 0.500
O: 0.000 0.388 0.680
O: 0.000 0.613 0.320
O: 0.387 0.000 0.680
O: 0.387 0.388 0.320
O: 0.612 0.000 0.320
O: 0.612 0.613 0.680

---

(10)
Compound: Ho6TmPd2
Source: Alexandria
Functional: PBE
Structure: relaxed

Output
Uncorrected energy ... -45.8 eV per formula unit
Theoretical density ... 9.4 Mg/m³

Cell lengths 8.186, 8.186, 10.695 Å; angles 127.86, 127.86, 25.85 degrees
Atoms (fractional coordinates):
Ho: 0.033 0.033 0.190
Ho: 0.287 0.287 0.891
Ho: 0.307 0.307 0.446
Ho: 0.693 0.693 0.554
Ho: 0.713 0.713 0.109
Ho: 0.967 0.967 0.810
Tm: 0.000 0.000 0.500
Pd: 0.406 0.406 0.237
Pd: 0.594 0.594 0.763

---

(11)
Compound: LiNi2Br
Source: Alexandria
Functional: PBE
Structure: relaxed

Output
Uncorrected energy ... -15.0 eV per formula unit
Theoretical density ... 5.2 Mg/m³
Energy relative to the elements, uncorrected ... 4.70 kJ/mol of atoms

Cell lengths 6.242, 6.242, 3.374 Å; angles 105.18, 105.18, 31.35 degrees
Atoms (fractional coordinates):
Li: 0.000 0.000 0.000
Ni: 0.279 0.279 0.278
Ni: 0.721 0.721 0.722
Br: 0.500 0.500 0.500

---

(12)
Compound: BeCdC3
Source: Alexandria
Functional: PBE
Structure: relaxed

Output
Uncorrected energy ... -13.9 eV per formula unit
Theoretical density ... 3.4 Mg/m³

Cell lengths 4.270, 4.270, 4.270 Å; angles 90.00, 90.00, 90.00 degrees
Atoms (fractional coordinates):
Be: 0.000 0.000 0.000
Cd: 0.500 0.500 0.500
C: 0.000 0.500 0.500
C: 0.500 0.000 0.500
C: 0.500 0.500 0.000